This record from Alexandria describes an optimized crystal structure of MnH2Br. The functional is GGA-PBEsol.

Cell lengths 4.0070, 4.0070, 4.0070 Å; angles 60.00, 60.00, 60.00 degrees
Fractional coordinates of all 4 atoms:
1 H 0.2500 0.2500 0.2500
2 H 0.7500 0.7500 0.7500
3 Mn 0.0000 0.0000 0.0000
4 Br 0.5000 0.5000 0.5000

* SG: Fm-3m (225)

=====

This record from Alexandria describes an optimized crystal structure of Tc3Ru. The functional is GGA-PBEsol.

Cell lengths 3.8070, 3.8070, 4.6707 Å; angles 114.05, 114.05, 90.00 degrees
Fractional coordinates of all 4 atoms:
1 Ru 0.0000 0.0000 0.0000
2 Tc 0.7500 0.2500 0.5000
3 Tc 0.5000 0.5000 0.0000
4 Tc 0.2500 0.7500 0.5000

* formation enthalpy at 0 K: 0.06 eV/atom
* ΔE to the lowest computed polymorph: 106 meV/atom
* SG: I4/mmm (139)

=====

This record from Alexandria describes an optimized crystal structure of YCoPb. The functional is GGA-PBEsol.

Cell lengths 4.6922, 4.6922, 4.6922 Å; angles 60.00, 60.00, 60.00 degrees
Fractional coordinates of all 3 atoms:
1 Co 0.5000 0.5000 0.5000
2 Pb 0.7500 0.7500 0.7500
3 Y 0.0000 0.0000 0.0000

* formation enthalpy at 0 K: 0.31 eV/atom
* SG: F-43m (216)

=====

This record from Alexandria describes an optimized crystal structure of FeNi2Os. The functional is GGA-PBEsol.

Cell lengths 4.0270, 4.0270, 4.0270 Å; angles 60.00, 60.00, 60.00 degrees
Fractional coordinates of all 4 atoms:
1 Fe 0.5000 0.5000 0.5000
2 Ni 0.0000 0.0000 0.0000
3 Ni 0.7500 0.7500 0.7500
4 Os 0.2500 0.2500 0.2500

* formation enthalpy at 0 K: 0.21 eV/atom
* ΔE to the lowest computed polymorph: 129 meV/atom
* SG: F-43m (216)

=====

This record from Alexandria describes an optimized crystal structure of CdP2H8O10. The functional is GGA-PBEsol.

Cell lengths 5.2863, 7.1048, 10.4821 Å; angles 90.00, 90.00, 91.50 degrees
Fractional coordinates of all 42 atoms:
1 Cd 0.5000 0.5000 0.5000
2 Cd 0.0000 0.0000 0.0000
3 P 0.7481 0.8334 0.7191
4 P 0.2481 0.3334 0.7809
5 P 0.2519 0.1666 0.2809
6 P 0.7519 0.6666 0.2191
7 H 0.9491 0.3058 0.5765
8 H 0.4491 0.8058 0.9235
9 H 0.0509 0.6942 0.4235
10 H 0.5509 0.1942 0.0765
11 H 0.8405 0.2095 0.4465
12 H 0.3405 0.7095 0.0535
13 H 0.1595 0.7905 0.5535
14 H 0.6595 0.2905 0.9465
15 H 0.6716 0.0896 0.5986
16 H 0.1716 0.5896 0.9014
17 H 0.3284 0.9104 0.4014
18 H 0.8284 0.4104 0.0986
19 H 0.1180 0.9878 0.7347
20 H 0.6180 0.4878 0.7653
21 H 0.8820 0.0122 0.2653
22 H 0.3820 0.5122 0.2347
23 O 0.6745 0.6326 0.6774
24 O 0.1745 0.1326 0.8226
25 O 0.3255 0.3674 0.3226
26 O 0.8255 0.8674 0.1774
27 O 0.7110 0.8620 0.8624
28 O 0.2110 0.3620 0.6376
29 O 0.2890 0.1380 0.1376
30 O 0.7890 0.6380 0.3624
31 O 0.5861 0.9695 0.6383
32 O 0.0861 0.4695 0.8617
33 O 0.4139 0.0305 0.3617
34 O 0.9139 0.5305 0.1383
35 O 0.0363 0.8704 0.6842
36 O 0.5363 0.3704 0.8158
37 O 0.9637 0.1296 0.3158
38 O 0.4637 0.6296 0.1842
39 O 0.7854 0.2593 0.5323
40 O 0.2854 0.7593 0.9677
41 O 0.2146 0.7407 0.4677
42 O 0.7146 0.2407 0.0323

* SG: P2_1/c (14)

=====

This record from Alexandria describes an optimized crystal structure of YSc2. The functional is GGA-PBEsol.

Cell lengths 3.3287, 3.3287, 7.3381 Å; angles 103.11, 103.11, 90.00 degrees
Fractional coordinates of all 3 atoms:
1 Y 0.0000 0.0000 0.0000
2 Sc 0.6721 0.6721 0.3443
3 Sc 0.3279 0.3279 0.6557

* formation enthalpy at 0 K: 0.06 eV/atom
* ΔE to the lowest computed polymorph: 36 meV/atom
* SG: I4/mmm (139)

=====

This record from Alexandria describes an optimized crystal structure of BaAlHg. The functional is GGA-PBEsol.

Cell lengths 4.2541, 4.8943, 4.8943 Å; angles 120.00, 90.00, 90.00 degrees
Fractional coordinates of all 3 atoms:
1 Al 0.5000 0.0000 0.0000
2 Hg 0.5000 0.6667 0.3333
3 Ba 0.0000 0.3333 0.6667

* formation enthalpy at 0 K: -0.33 eV/atom
* ΔE to the lowest computed polymorph: 0 meV/atom
* SG: P-6m2 (187)

=====

This record from Alexandria describes an optimized crystal structure of BaS. The functional is GGA-PBEsol.

Cell lengths 4.4986, 4.4986, 4.4986 Å; angles 60.00, 60.00, 60.00 degrees
Fractional coordinates of all 2 atoms:
1 S 0.5000 0.5000 0.5000
2 Ba 0.0000 0.0000 0.0000

* raw formation energy: -2.093 eV per atom
* SG: Fm-3m (225)

=====

This record from Alexandria describes an optimized crystal structure of BeTlTcPt2. The functional is GGA-PBEsol.

Cell lengths 4.9426, 4.9426, 4.9734 Å; angles 90.00, 90.00, 90.00 degrees
Fractional coordinates of all 5 atoms:
1 Be 0.5000 0.5000 0.5000
2 Tl 0.0000 0.0000 0.0000
3 Tc 0.0000 0.0000 0.5000
4 Pt 0.0000 0.5000 0.0000
5 Pt 0.5000 0.0000 0.0000

* formation enthalpy at 0 K: 2.25 eV/atom
* SG: P4/mmm (123)

=====

This record from Alexandria describes an optimized crystal structure of SbTeOs2. The functional is GGA-PBEsol.

Cell lengths 3.0695, 5.3118, 5.4261 Å; angles 119.31, 106.43, 90.00 degrees
Fractional coordinates of all 4 atoms:
1 Os 0.7432 0.7432 0.4863
2 Os 0.2568 0.2568 0.5137
3 Sb 0.0000 0.5000 0.0000
4 Te 0.5000 0.0000 0.0000

* raw formation energy: 1.122 eV per atom
* ΔE to the lowest computed polymorph: 337 meV/atom
* SG: Immm (71)

=====

This record from Alexandria describes an optimized crystal structure of Sc2CrCu. The functional is GGA-PBEsol.

Cell lengths 4.5704, 4.5704, 4.5704 Å; angles 60.00, 60.00, 60.00 degrees
Fractional coordinates of all 4 atoms:
1 Cr 0.5000 0.5000 0.5000
2 Cu 0.2500 0.2500 0.2500
3 Sc 0.0000 0.0000 0.0000
4 Sc 0.7500 0.7500 0.7500

* formation enthalpy at 0 K: 0.27 eV/atom
* ΔE to the lowest computed polymorph: 156 meV/atom
* SG: F-43m (216)

=====

This record from Alexandria describes an optimized crystal structure of Ba3LiIrRuO9. The functional is GGA-PBEsol.

Cell lengths 5.7644, 5.7644, 14.0866 Å; angles 90.00, 90.00, 120.00 degrees
Fractional coordinates of all 30 atoms:
1 Ba 0.0000 0.0000 0.7498
2 Ba 0.0000 0.0000 0.2498
3 Ba 0.6667 0.3333 0.0860
4 Ba 0.3333 0.6667 0.9125
5 Ba 0.3333 0.6667 0.5860
6 Ba 0.6667 0.3333 0.4125
7 Li 0.0000 0.0000 0.9997
8 Li 0.0000 0.0000 0.4997
9 Ir 0.6667 0.3333 0.8443
10 Ir 0.3333 0.6667 0.3443
11 Ru 0.3333 0.6667 0.1524
12 Ru 0.6667 0.3333 0.6524
13 O 0.9707 0.4853 0.7501
14 O 0.5147 0.4853 0.7501
15 O 0.5147 0.0293 0.7501
16 O 0.0293 0.5147 0.2501
17 O 0.4853 0.5147 0.2501
18 O 0.4853 0.9707 0.2501
19 O 0.3478 0.1739 0.5845
20 O 0.8261 0.1739 0.5845
21 O 0.8261 0.6522 0.5845
22 O 0.6541 0.8271 0.4171
23 O 0.1729 0.8271 0.4171
24 O 0.1729 0.3459 0.4171
25 O 0.6522 0.8261 0.0845
26 O 0.1739 0.8261 0.0845
27 O 0.1739 0.3478 0.0845
28 O 0.3459 0.1729 0.9171
29 O 0.8271 0.1729 0.9171
30 O 0.8271 0.6541 0.9171

* raw formation energy: -1.885 eV per atom
* SG: P6_3mc (186)

=====

For reference, calculated density by record: 5.0; 11.9; 8.1; 13.1; 2.9; 3.9; 6.9; 4.4; 9.6; 14.3; 5.1; 7.0 g/cm3.
For reference, VASP energy by record: -3.656; -10.937; -5.880; -8.162; -5.867; -6.618; -2.601; -5.360; -4.111; -7.007; -6.674; -6.929 eV per atom.